Crystalline Sm2TmAlO at its relaxed geometry, computed with PBE.

Cell: 4.8895 4.8895 4.6019 Å, 90.00 90.00 90.00°
Sites, in units of the cell vectors:
Sm: 0.0000 0.5000 0.0000
Sm: 0.5000 0.0000 0.0000
Tm: 0.0000 0.0000 0.5000
Al: 0.5000 0.5000 0.5000
O: 0.0000 0.0000 0.0000

- Space-group type: P4/mmm, No. 123
- N(E_F): 2.50 states/eV/cell
- Total magnetization: 0.000 μB/cell
- E_form (uncorrected): -1.348 eV/atom

Crystalline LiCa4 at its relaxed geometry, computed with PBE.

Cell: 6.7283 9.4400 6.3813 Å, 90.00 107.64 90.00°
Sites, in units of the cell vectors:
Li: 0.0000 0.1083 0.2500
Li: 0.0000 0.8917 0.7500
Ca: 0.2481 0.4029 0.4769
Ca: 0.2481 0.5971 0.9769
Ca: 0.2988 0.1593 0.9454
Ca: 0.2988 0.8407 0.4454
Ca: 0.7012 0.1593 0.5546
Ca: 0.7012 0.8407 0.0546
Ca: 0.7519 0.4029 0.0231
Ca: 0.7519 0.5971 0.5231

- Calculated formation energy: 0.093 eV/atom
- Space-group type: P2/c, No. 13
- N(E_F): 10.90 states/eV/cell
- Total magnetization: 0.000 μB/cell
- E above lowest polymorph: 86 meV/atom